18
Lattice="8.600 0.000 0.000 0.000 7.951 -4.688 0.000 -0.837 9.192" Properties=species:S:1:pos:R:3 comment="Pm2Nd2Bi5 | the Alexandria database | PBE | relaxed" formation_enthalpy_0k_mev_per_atom=-729 total_energy_ev_per_atom=-5.00 n_ef_per_ev_atom=0.688 pbc="T T T"
Pm 2.921 1.113 0.705
Pm 5.679 6.001 3.800
Pm 7.221 2.444 1.547
Pm 1.379 4.670 2.957
Nd 0.000 6.266 -2.026
Nd 4.300 1.872 4.914
Nd 0.000 0.848 6.531
Nd 4.300 5.242 -0.409
Bi 0.000 0.000 0.000
Bi 4.300 3.557 2.252
Bi 1.275 1.274 3.527
Bi 7.325 3.382 4.861
Bi 5.575 -0.175 2.609
Bi 3.025 4.831 5.779
Bi 7.325 5.841 0.978
Bi 1.275 3.733 -0.357
Bi 3.025 7.290 1.896
Bi 5.575 2.283 -1.274

15
Lattice="8.380 0.000 0.000 4.190 7.257 0.000 4.190 2.419 8.787" Properties=species:S:1:pos:R:3 comment="PmNd8Bi6 | the Alexandria database | PBE | relaxed" formation_enthalpy_0k_mev_per_atom=-605 total_energy_ev_per_atom=-5.02 n_ef_per_ev_atom=1.142 pbc="T T T"
Pm 0.000 0.000 0.000
Nd 6.976 2.427 3.223
Nd 9.766 2.416 5.564
Nd 5.589 4.848 5.564
Nd 12.570 7.257 8.786
Nd 4.190 2.419 0.001
Nd 11.171 4.828 3.223
Nd 6.994 7.260 3.223
Nd 9.784 7.250 5.564
Bi 6.971 2.421 7.029
Bi 9.769 2.410 1.758
Bi 5.582 4.850 1.758
Bi 11.178 4.827 7.029
Bi 6.991 7.267 7.029
Bi 9.789 7.255 1.758